[1]
Computed, not measured: a geometry-optimized La6Al5Zn structure at the PBE level of DFT.

Lattice parameters (Å, degrees): 5.3665 7.6194 8.4838 90.00 71.57 90.00
Last column: nearest neighbours and their distance in Å.
Fractional coordinates of all 12 atoms:
La 0.8342 0.2483 0.3314  1 Zn 3.27, 7 Al 3.28-3.31
La 0.1658 0.7517 0.6686  1 Zn 3.27, 7 Al 3.28-3.31
La 0.5000 0.2470 0.0000  6 Al 3.28-3.31, 2 Zn 3.28
La 0.1658 0.2483 0.6686  1 Zn 3.27, 7 Al 3.28-3.31
La 0.8342 0.7517 0.3314  1 Zn 3.27, 7 Al 3.28-3.31
Al 0.0000 0.5000 0.0000  8 La 3.29-3.30
Al 0.6671 0.5000 0.6661  8 La 3.30-3.31
Zn 0.0000 0.0000 0.0000  8 La 3.27-3.28
La 0.5000 0.7530 0.0000  6 Al 3.28-3.31, 2 Zn 3.28
Al 0.6666 0.0000 0.6667  8 La 3.28-3.30
Al 0.3329 0.5000 0.3339  8 La 3.30-3.31
Al 0.3334 0.0000 0.3333  8 La 3.28-3.30

Calculated values
Energy = -4.4781 eV/atom
Density of states at the Fermi level = 10.4 states/eV/cell
Calculated formation energy = -0.349 eV per atom

[2]
Computed, not measured: a geometry-optimized Ca2Sc2Re structure at the PBE level of DFT.

Lattice parameters (Å, degrees): 7.2459 7.2459 4.8661 90.00 90.00 90.00
Last column: nearest neighbours and their distance in Å.
Fractional coordinates of all 10 atoms:
Sc 0.8136 0.3136 0.5000  2 Ca 3.01
Sc 0.6864 0.8136 0.5000  2 Ca 3.01
Ca 0.6410 0.1410 0.0000  2 Re 2.79, 1 Ca 2.89, 2 Sc 3.01
Ca 0.3590 0.8590 0.0000  2 Re 2.79, 1 Ca 2.89, 2 Sc 3.01
Ca 0.1410 0.3590 0.0000  2 Re 2.79, 1 Ca 2.89, 2 Sc 3.01
Re 0.0000 0.0000 0.0000  4 Ca 2.79
Sc 0.3136 0.1864 0.5000  2 Ca 3.01
Sc 0.1864 0.6864 0.5000  2 Ca 3.01
Re 0.5000 0.5000 0.0000  4 Ca 2.79
Ca 0.8590 0.6410 0.0000  2 Re 2.79, 1 Ca 2.89, 2 Sc 3.01

Calculated values
Energy = -4.8701 eV/atom
Polymorph energy (0 for the lowest one) = 0 meV/atom
Density of states at the Fermi level = 9.2 states/eV/cell
Calculated formation energy = 0.953 eV per atom

The lowest energy belongs to which entry? Ca2Sc2Re

Which value of energy does entry 1 give? -4.4781 eV/atom

Look up the calculated formation energy of the second one. 0.953 eV per atom

What did the first record say?
Computed, not measured: a geometry-optimized La6Al5Zn structure at the PBE level of DFT.

Lattice parameters (Å, degrees): 5.3665 7.6194 8.4838 90.00 71.57 90.00
Last column: nearest neighbours and their distance in Å.
Fractional coordinates of all 12 atoms:
La 0.8342 0.2483 0.3314  1 Zn 3.27, 7 Al 3.28-3.31
La 0.1658 0.7517 0.6686  1 Zn 3.27, 7 Al 3.28-3.31
La 0.5000 0.2470 0.0000  6 Al 3.28-3.31, 2 Zn 3.28
La 0.1658 0.2483 0.6686  1 Zn 3.27, 7 Al 3.28-3.31
La 0.8342 0.7517 0.3314  1 Zn 3.27, 7 Al 3.28-3.31
Al 0.0000 0.5000 0.0000  8 La 3.29-3.30
Al 0.6671 0.5000 0.6661  8 La 3.30-3.31
Zn 0.0000 0.0000 0.0000  8 La 3.27-3.28
La 0.5000 0.7530 0.0000  6 Al 3.28-3.31, 2 Zn 3.28
Al 0.6666 0.0000 0.6667  8 La 3.28-3.30
Al 0.3329 0.5000 0.3339  8 La 3.30-3.31
Al 0.3334 0.0000 0.3333  8 La 3.28-3.30

Calculated values
Energy = -4.4781 eV/atom
Density of states at the Fermi level = 10.4 states/eV/cell
Calculated formation energy = -0.349 eV per atom